Entry 1:
12
Lattice="-3.9376 3.9376 5.5738 3.9376 -3.9376 5.5738 3.9376 3.9376 -5.5738" Properties=species:S:1:pos:R:3 comment="SmSc2 PBE optimized geometry" sg="I4_1md, No. 109" pbc="T T T"
Sm 0.0000 1.7057 0.0000
Sm -1.7057 3.9376 2.7869
Sm 1.7057 3.9376 2.7869
Sm 0.0000 6.1696 0.0000
Sc 3.9376 -1.5945 2.5640
Sc 2.5151 0.0000 0.4433
Sc 5.3601 0.0000 0.4433
Sc 3.9376 2.5151 -2.3436
Sc 3.9376 1.5945 2.5640
Sc 0.0000 1.4225 3.2302
Sc 2.3432 3.9376 -0.2229
Sc 1.5945 0.0000 5.3509

---

Entry 2:
6
Lattice="1.7601 -3.0501 0.0000 1.7601 3.0501 0.0000 0.0000 0.0000 17.0728" Properties=species:S:1:pos:R:3 comment="Sm2Sc PBE optimized geometry" sg="Cmcm, No. 63" pbc="T T T"
Sm 1.7601 2.0350 10.0824
Sm 1.7601 2.0350 15.5268
Sm 1.7601 -2.0350 1.5460
Sm 1.7601 -2.0350 6.9904
Sc 1.7601 0.0036 12.8046
Sc 1.7601 -0.0036 4.2682

---

Entry 3:
8
Lattice="7.1926 0.0000 0.0000 -3.5963 6.2289 0.0000 0.0000 0.0000 5.6515" Properties=species:S:1:pos:R:3 comment="Sm3Sc PBE optimized geometry" sg="P6_3/mmc, No. 194" pbc="T T T"
Sm 0.0000 2.1173 1.4129
Sm -1.7626 5.1703 1.4129
Sm 1.8336 1.0587 4.2387
Sm 1.7626 5.1703 1.4129
Sm 5.3589 1.0587 4.2387
Sm 3.5963 4.1116 4.2387
Sc 0.0000 4.1526 4.2387
Sc 3.5963 2.0763 1.4129

---

Entry 4:
15
Lattice="6.6445 0.0000 0.0000 1.2528 8.9131 0.0000 1.2490 3.5156 8.1983" Properties=species:S:1:pos:R:3 comment="Sm13Sc2 PBE optimized geometry" sg="P-1, No. 2" pbc="T T T"
Sm 0.0000 0.0000 0.0000
Sm 2.1592 6.5821 6.1950
Sm 1.8022 2.4579 1.7108
Sm 3.9671 10.8294 5.2019
Sm 3.9718 9.0211 7.9663
Sm 3.6457 4.9582 3.3297
Sm 4.5515 7.9961 1.3832
Sm 4.5949 4.4325 6.8151
Sm 5.5006 7.4705 4.8686
Sm 5.1745 3.4076 0.2320
Sm 5.1792 1.5993 2.9964
Sm 7.3441 9.9708 6.4875
Sm 6.9871 5.8465 2.0033
Sc 2.1631 8.3720 3.5166
Sc 6.9832 4.0566 4.6817

---

Entry 5:
4
Lattice="3.4107 0.0000 0.0000 0.0000 3.4492 0.0000 0.0000 0.0000 11.0127" Properties=species:S:1:pos:R:3 comment="Sm3Sc PBE optimized geometry" sg="Pmm2, No. 25" pbc="T T T"
Sm 0.0000 0.0000 0.0000
Sm 0.0000 1.7246 3.1260
Sm 1.7054 1.7246 8.3840
Sc 1.7054 0.0000 5.5136

---

Entry 6:
6
Lattice="6.0234 -1.6907 0.0000 6.0234 1.6907 0.0000 -1.7655 0.0000 7.6506" Properties=species:S:1:pos:R:3 comment="SmSc5 PBE optimized geometry" sg="Cm, No. 8" pbc="T T T"
Sm 0.0000 0.0000 0.0000
Sc -0.4252 0.0000 4.6027
Sc 2.7966 0.0000 5.0025
Sc 4.1016 0.0000 2.1423
Sc 7.4383 0.0000 2.5683
Sc 7.0541 0.0000 7.1213

---

Entry 7:
5
Lattice="-3.7080 3.7080 2.3732 3.7080 -3.7080 2.3732 3.7080 3.7080 -2.3732" Properties=species:S:1:pos:R:3 comment="SmSc4 PBE optimized geometry" sg="I4/m, No. 87" pbc="T T T"
Sm 0.0000 0.0000 0.0000
Sc 4.4299 1.4693 0.0000
Sc 1.4693 2.9862 0.0000
Sc 2.2387 0.7219 2.3732
Sc -0.7219 2.2387 2.3732

---

Entry 8:
6
Lattice="0.0000 4.5759 4.5759 4.5759 0.0000 4.5759 4.5759 4.5759 0.0000" Properties=species:S:1:pos:R:3 comment="Sm2Sc PBE optimized geometry" sg="Fd-3m, No. 227" pbc="T T T"
Sm 0.0000 0.0000 0.0000
Sm 2.2879 2.2879 0.0000
Sm 2.2879 0.0000 2.2879
Sm 0.0000 2.2879 2.2879
Sc 3.4319 3.4319 3.4319
Sc 5.7198 5.7198 5.7198

---

DFT formation energy in eV/atom, matching the order above: 0.459; 0.047; 0.039; 0.069; 0.234; 0.023; 0.060; 0.362